Entry 1:
A relaxed LaReW2 crystal. Source: Alexandria, functional GGA-PBE.

Properties
The energy relative to the lowest polymorph listed for this composition is 81.5 kJ/mol of formula units. Its formation energy from the elements is 0.643 eV/atom.

Cell and atoms, written as extended XYZ:
```
8
Lattice="9.872 0.000 0.000 0.000 3.175 0.000 -1.732 0.000 5.438" Properties=species:S:1:pos:R:3 pbc="T T T"
La 0.000 0.000 0.000
La 4.936 1.587 0.000
Re 1.143 0.000 3.580
Re 6.078 1.587 3.580
W -0.767 1.587 2.794
W 2.251 1.587 1.913
W 4.169 0.000 2.794
W 7.187 0.000 1.913
```

Entry 2:
A relaxed TlHg3C crystal. Source: Alexandria, functional GGA-PBE.

Properties
The energy relative to the lowest polymorph listed for this composition is 310.3 kJ/mol of formula units. Its formation energy from the elements is 1.527 eV/atom.

Cell and atoms, written as extended XYZ:
```
5
Lattice="5.966 0.000 0.000 0.000 5.966 0.000 0.000 0.000 5.966" Properties=species:S:1:pos:R:3 pbc="T T T"
Tl 0.000 0.000 0.000
Hg 0.000 0.000 2.983
Hg 0.000 2.983 0.000
Hg 2.983 0.000 0.000
C 2.983 2.983 2.983
```

Entry 3:
A relaxed Y4GeI5 crystal. Source: Alexandria, functional GGA-PBE.

Properties
The calculation puts the total DFT energy (no corrections) at -5.019 eV/atom.

Cell and atoms, written as extended XYZ:
```
10
Lattice="9.560 -2.108 0.000 9.560 2.108 0.000 -1.920 0.000 8.617" Properties=species:S:1:pos:R:3 pbc="T T T"
Y -0.405 0.000 1.819
Y 17.606 0.000 6.798
Y 4.973 0.000 7.984
Y 12.228 0.000 0.633
Ge 9.560 0.000 0.000
I 2.535 0.000 2.891
I 1.698 0.000 7.134
I 8.601 0.000 4.308
I 15.504 0.000 1.482
I 14.666 0.000 5.726
```

Entry 4:
A relaxed CuTc2Os crystal. Source: Alexandria, functional GGA-PBE.

Properties
The energy relative to the lowest polymorph listed for this composition is 95.1 kJ/mol of formula units. Its formation energy from the elements is 0.403 eV/atom.

Cell and atoms, written as extended XYZ:
```
8
Lattice="2.819 0.000 0.000 0.000 4.479 0.000 0.000 0.000 9.105" Properties=species:S:1:pos:R:3 pbc="T T T"
Cu 0.000 0.000 0.000
Cu 1.410 2.240 0.000
Tc 0.000 2.240 2.272
Tc 0.000 2.240 6.834
Tc 1.410 0.000 2.272
Tc 1.410 0.000 6.834
Os 0.000 0.000 4.553
Os 1.410 2.240 4.553
```

Entry 5:
A relaxed Ca4HoNp3N8 crystal. Source: Alexandria, functional GGA-PBE.

Properties
The calculation puts the total DFT energy (no corrections) at -8.614 eV/atom.

Cell and atoms, written as extended XYZ:
```
16
Lattice="3.477 2.007 5.695 -3.477 2.007 5.695 0.000 -4.015 5.695" Properties=species:S:1:pos:R:3 pbc="T T T"
Ca 0.000 0.000 0.000
Ca -1.738 -1.004 5.695
Ca -1.738 1.004 11.390
Ca 0.000 2.007 5.695
Ho 0.000 0.000 8.543
Np -3.477 0.000 8.543
Np -1.738 1.004 2.848
Np 1.738 1.004 2.848
N -1.805 -1.042 9.760
N 0.000 0.000 4.095
N 0.000 -2.084 7.325
N -1.805 1.042 7.325
N 1.805 -1.042 9.760
N 0.000 2.084 9.760
N 0.000 0.000 12.990
N 1.805 1.042 7.325
```

Entry 6:
A relaxed Pr3Dy2Hg4 crystal. Source: Alexandria, functional GGA-PBE.

Properties
Its formation energy from the elements is -0.268 eV/atom.

Cell and atoms, written as extended XYZ:
```
18
Lattice="3.459 -9.746 0.000 3.459 9.746 0.000 0.000 0.000 8.040" Properties=species:S:1:pos:R:3 pbc="T T T"
Pr 0.000 0.000 0.000
Pr 1.729 4.677 2.010
Pr 1.729 -4.677 6.030
Pr 3.459 0.000 4.020
Pr 5.188 4.677 2.010
Pr 5.188 -4.677 6.030
Dy 3.459 7.938 3.339
Dy 3.459 1.808 7.360
Dy 3.459 -1.808 0.681
Dy 3.459 -7.938 4.701
Hg 3.459 6.678 0.330
Hg 1.729 1.461 2.010
Hg 1.729 -1.461 6.030
Hg 3.459 3.068 4.350
Hg 3.459 -3.068 3.690
Hg 5.188 1.461 2.010
Hg 5.188 -1.461 6.030
Hg 3.459 -6.678 7.710
```

Entry 7:
A relaxed ThSc2Zn2Ga2 crystal. Source: Alexandria, functional GGA-PBE.

Properties
Its formation energy from the elements is -0.375 eV/atom.

Cell and atoms, written as extended XYZ:
```
7
Lattice="2.174 1.255 8.927 -2.174 1.255 8.927 0.000 -2.510 8.927" Properties=species:S:1:pos:R:3 pbc="T T T"
Th 0.000 0.000 0.000
Sc 0.000 0.000 3.522
Sc 0.000 0.000 23.259
Zn 0.000 0.000 10.913
Zn 0.000 0.000 15.868
Ga 0.000 0.000 6.719
Ga 0.000 0.000 20.062
```

Entry 8:
A relaxed Pm5Pr2Er3 crystal. Source: Alexandria, functional GGA-PBE.

Properties
Its formation energy from the elements is 0.185 eV/atom.

Cell and atoms, written as extended XYZ:
```
20
Lattice="5.462 -7.890 0.000 5.462 7.890 0.000 -5.412 0.000 7.976" Properties=species:S:1:pos:R:3 pbc="T T T"
Pm 1.403 7.378 5.982
Pm -1.362 1.827 5.739
Pm 1.403 4.258 5.982
Pm 4.109 3.644 1.994
Pm 1.344 -1.827 1.751
Pm 4.168 1.827 6.224
Pm 1.403 -3.644 5.982
Pm 4.109 -4.258 1.994
Pm 6.874 -1.827 2.236
Pm 4.109 -7.378 1.994
Pr 1.469 1.940 3.577
Pr -1.237 -1.940 7.565
Pr 6.750 1.940 0.411
Pr 4.044 -1.940 4.399
Er 1.481 1.885 0.363
Er -1.225 -1.885 4.351
Er 4.109 0.384 1.994
Er 1.403 -0.384 5.982
Er 6.737 1.885 3.625
Er 4.031 -1.885 7.612
```

no.,total magnetic moment (μB/cell)
1,0.0
2,2.6
3,0.0
4,0.0
5,8.0
6,0.0
7,0.0
8,0.0